[1]
The following is a DFT calculation (PBE) of Tm3BiP2Rh9 after structural relaxation.

Structure (CIF):
```
data_Tm3BiP2Rh9
_chemical_formula_sum 'Tm3 Bi1 P2 Rh9'
_symmetry_space_group_name_H-M 'P -3 m 1'
_symmetry_Int_Tables_number 164
_symmetry_space_group_name_Hall '-P 3 2"'
_cell_length_a 6.0230
_cell_length_b 6.0230
_cell_length_c 9.4897
_cell_angle_alpha 90.00
_cell_angle_beta 90.00
_cell_angle_gamma 120.00
loop_
_atom_site_label
_atom_site_type_symbol
_atom_site_fract_x
_atom_site_fract_y
_atom_site_fract_z
Tm1 Tm 0.0000 0.0000 0.0000
Tm2 Tm 0.3333 0.6667 0.7452
Bi1 Bi 0.0000 0.0000 0.5000
P1 P 0.3333 0.6667 0.1571
Rh1 Rh 0.0000 0.5000 0.0000
Rh2 Rh 0.1506 0.3012 0.2648
```

Electronic total energy: -6.910 eV/atom
Total moment: 0.000 μB per cell
Theoretical density: 9.5 g/cm3
Energy relative to the elements: -0.625 eV/atom
Crystal system: trigonal

[2]
The following is a DFT calculation (PBE) of Y3BiP2Rh9 after structural relaxation.

Structure (CIF):
```
data_Y3BiP2Rh9
_chemical_formula_sum 'Y3 Bi1 P2 Rh9'
_symmetry_space_group_name_H-M 'P -3 m 1'
_symmetry_Int_Tables_number 164
_symmetry_space_group_name_Hall '-P 3 2"'
_cell_length_a 6.0502
_cell_length_b 6.0502
_cell_length_c 9.4868
_cell_angle_alpha 90.00
_cell_angle_beta 90.00
_cell_angle_gamma 120.00
loop_
_atom_site_label
_atom_site_type_symbol
_atom_site_fract_x
_atom_site_fract_y
_atom_site_fract_z
Y1 Y 0.0000 0.0000 0.0000
Y2 Y 0.3333 0.6667 0.7352
Bi1 Bi 0.0000 0.0000 0.5000
P1 P 0.3333 0.6667 0.1566
Rh1 Rh 0.0000 0.5000 0.0000
Rh2 Rh 0.1513 0.3026 0.2664
```

Electronic total energy: -7.293 eV/atom
Total moment: 0.000 μB per cell
Theoretical density: 8.1 g/cm3
Energy relative to the elements: -0.610 eV/atom
Crystal system: trigonal

[3]
The following is a DFT calculation (PBE) of BiPRu2 after structural relaxation.

Structure (CIF):
```
data_BiPRu2
_chemical_formula_sum 'Bi4 P4 Ru8'
_symmetry_space_group_name_H-M 'I -4 2 d'
_symmetry_Int_Tables_number 122
_symmetry_space_group_name_Hall 'I -4 2bw'
_cell_length_a 5.7020
_cell_length_b 5.7020
_cell_length_c 10.8557
_cell_angle_alpha 90.00
_cell_angle_beta 90.00
_cell_angle_gamma 90.00
loop_
_atom_site_label
_atom_site_type_symbol
_atom_site_fract_x
_atom_site_fract_y
_atom_site_fract_z
Bi1 Bi 0.0000 0.0000 0.0000
P1 P 0.0000 0.0000 0.5000
Ru1 Ru 0.1828 0.2500 0.6250
```

Electronic total energy: -6.731 eV/atom
Total moment: 0.000 μB per cell
Theoretical density: 8.3 g/cm3
Energy relative to the elements: 0.230 eV/atom
Crystal system: tetragonal

[4]
The following is a DFT calculation (PBE) of Bi2P2Ru after structural relaxation.

Structure (CIF):
```
data_Bi2P2Ru
_chemical_formula_sum 'Bi4 P4 Ru2'
_symmetry_space_group_name_H-M 'I 4/m m m'
_symmetry_Int_Tables_number 139
_symmetry_space_group_name_Hall '-I 4 2'
_cell_length_a 3.3527
_cell_length_b 3.3527
_cell_length_c 18.8812
_cell_angle_alpha 90.00
_cell_angle_beta 90.00
_cell_angle_gamma 90.00
loop_
_atom_site_label
_atom_site_type_symbol
_atom_site_fract_x
_atom_site_fract_y
_atom_site_fract_z
Bi1 Bi 0.0000 0.0000 0.0917
P1 P 0.0000 0.5000 0.2500
Ru1 Ru 0.0000 0.0000 0.5000
```

Electronic total energy: -5.303 eV/atom
Total moment: 0.000 μB per cell
Theoretical density: 9.1 g/cm3
Energy relative to the elements: 0.268 eV/atom
Crystal system: tetragonal